# PBE Nb3As2P, optimized geometry
data_Nb3As2P
_chemical_formula_sum 'Nb3 As2 P1'
_space_group_name_H-M_alt 'P -3 m 1'
_space_group_IT_number 164
_space_group_name_Hall '-P 3 2"'
_cell_length_a 3.6278
_cell_length_b 3.6278
_cell_length_c 9.3887
_cell_angle_alpha 90.00
_cell_angle_beta 90.00
_cell_angle_gamma 120.00
loop_
_atom_site_label
_atom_site_type_symbol
_atom_site_fract_x
_atom_site_fract_y
_atom_site_fract_z
Nb1 Nb 0.0000 0.0000 0.0000
Nb2 Nb 0.3333 0.6667 0.3659
As1 As 0.3333 0.6667 0.8261
P1 P 0.0000 0.0000 0.5000
# **E_tot**: -7.922 eV per atom

# PBE Nb2Si2AsP, optimized geometry
data_Nb2Si2AsP
_chemical_formula_sum 'Nb2 Si2 As1 P1'
_space_group_name_H-M_alt 'P 4 m m'
_space_group_IT_number 99
_cell_length_a 4.492
_cell_length_b 4.492
_cell_length_c 5.246
_cell_angle_alpha 90.00
_cell_angle_beta 90.00
_cell_angle_gamma 90.00
loop_
_space_group_symop_operation_xyz
'x,y,z'
'-y,x,z'
'-x,-y,z'
'y,-x,z'
'-x,y,z'
'y,x,z'
'x,-y,z'
'-y,-x,z'
loop_
_atom_site_label
_atom_site_type_symbol
_atom_site_fract_x
_atom_site_fract_y
_atom_site_fract_z
Nb1 Nb 0.000 0.500 0.000
Si1 Si 0.000 0.000 0.304
Si2 Si 0.500 0.500 0.743
As1 As 0.500 0.500 0.297
P1 P 0.000 0.000 0.743
# **E_tot**: -7.034 eV per atom

# PBE Nb2Zn2As3P, optimized geometry
data_Nb2Zn2As3P
_chemical_formula_sum 'Nb4 Zn4 As6 P2'
_space_group_name_H-M_alt 'C 1 2 1'
_space_group_IT_number 5
_cell_length_a 12.423
_cell_length_b 5.847
_cell_length_c 5.827
_cell_angle_alpha 90.00
_cell_angle_beta 116.72
_cell_angle_gamma 90.00
loop_
_space_group_symop_operation_xyz
'x,y,z'
'-x,y,-z'
'x+1/2,y+1/2,z'
'-x+1/2,y+1/2,-z'
loop_
_atom_site_label
_atom_site_type_symbol
_atom_site_fract_x
_atom_site_fract_y
_atom_site_fract_z
Nb1 Nb 0.121 0.000 0.378
Zn1 Zn 0.120 0.514 0.859
As1 As 0.000 0.255 0.000
As2 As 0.249 0.749 0.247
P1 P 0.000 0.751 0.500
# **E_tot**: -5.246 eV per atom